Entry 1:
The following is a DFT calculation (meta-GGA SCAN) of a PBEsol-optimized structure of RbYRe2.

abc: 4.9090 4.9090 4.9090
angles: 60.00 60.00 60.00
With the nearest neighbours (Å) after each atom.
Fractional positions:
Rb1 0.0000 0.0000 0.0000  8 Re 3.01
Y1 0.5000 0.5000 0.5000  8 Re 3.01
Re1 0.2500 0.2500 0.2500  4 Y 3.01, 4 Rb 3.01
Re2 0.7500 0.7500 0.7500  4 Rb 3.01, 4 Y 3.01

Results
Size of the total moment   3.3 μB/cell
E_tot   -45.533 eV per atom
Fermi-level density of states   5.43 states/eV/f.u.
Symmetry   Fm-3m, No. 225
Energy relative to the elements   2.16 eV/atom



Entry 2:
The following is a DFT calculation (meta-GGA SCAN) of a PBEsol-optimized structure of RbZn2Re.

abc: 4.8101 4.8101 4.8101
angles: 60.00 60.00 60.00
With the nearest neighbours (Å) after each atom.
Fractional positions:
Rb1 0.0000 0.0000 0.0000  8 Zn 2.95
Zn1 0.2500 0.2500 0.2500  4 Re 2.95, 4 Rb 2.95
Zn2 0.7500 0.7500 0.7500  4 Re 2.95, 4 Rb 2.95
Re1 0.5000 0.5000 0.5000  8 Zn 2.95

Results
Size of the total moment   2.1 μB/cell
E_tot   -28.401 eV per atom
Fermi-level density of states   1.23 states/eV/f.u.
Symmetry   Fm-3m, No. 225
Energy relative to the elements   1.32 eV/atom



Entry 3:
The following is a DFT calculation (meta-GGA SCAN) of a PBEsol-optimized structure of RbSc3Rh.

abc: 4.7711 4.7711 4.7711
angles: 90.00 90.00 90.00
With the nearest neighbours (Å) after each atom.
Fractional positions:
Rb1 0.0000 0.0000 0.0000  6 Sc 2.39
Sc1 0.0000 0.0000 0.5000  2 Rb 2.39
Sc2 0.0000 0.5000 0.0000  2 Rb 2.39
Sc3 0.5000 0.0000 0.0000  2 Rb 2.39
Rh1 0.5000 0.5000 0.5000  12 Sc 3.37

Results
Size of the total moment   0.0 μB/cell
E_tot   -17.835 eV per atom
Fermi-level density of states   2.95 states/eV/f.u.
Symmetry   Pm-3m, No. 221
Energy relative to the elements   1.61 eV/atom



Entry 4:
The following is a DFT calculation (meta-GGA SCAN) of a PBEsol-optimized structure of RbZnSi2Rh.

abc: 4.6382 4.6382 4.8985
angles: 90.00 90.00 90.00
With the nearest neighbours (Å) after each atom.
Fractional positions:
Rb1 0.0000 0.0000 0.0000  4 Zn 3.28, 8 Si 3.37
Zn1 0.5000 0.5000 0.0000  2 Rh 2.45
Si1 0.0000 0.5000 0.5000  2 Rh 2.32
Si2 0.5000 0.0000 0.5000  2 Rh 2.32
Rh1 0.5000 0.5000 0.5000  4 Si 2.32, 2 Zn 2.45

Results
Size of the total moment   0.0 μB/cell
E_form (uncorrected)   0.41 eV/f.u.
E_tot   -17.529 eV per atom
Fermi-level density of states   2.79 states/eV/f.u.
Symmetry   P4/mmm, No. 123



Entry 5:
The following is a DFT calculation (meta-GGA SCAN) of a PBEsol-optimized structure of RbSn2Rh.

abc: 5.0066 5.0066 5.0066
angles: 60.00 60.00 60.00
With the nearest neighbours (Å) after each atom.
Fractional positions:
Rb1 0.0000 0.0000 0.0000  8 Sn 3.07
Sn1 0.2500 0.2500 0.2500  4 Rh 3.07, 4 Rb 3.07
Sn2 0.7500 0.7500 0.7500  4 Rh 3.07, 4 Rb 3.07
Rh1 0.5000 0.5000 0.5000  8 Sn 3.07

Results
Size of the total moment   0.0 μB/cell
E_tot   -31.286 eV per atom
Fermi-level density of states   1.25 states/eV/f.u.
Symmetry   Fm-3m, No. 225
Energy relative to the elements   0.30 eV/atom



Entry 6:
The following is a DFT calculation (meta-GGA SCAN) of a PBEsol-optimized structure of RbSn2Rh2.

abc: 6.8836 6.8836 6.8836
angles: 142.79 142.79 53.65
With the nearest neighbours (Å) after each atom.
Fractional positions:
Rb1 0.0000 0.0000 0.0000  8 Sn 3.54, 8 Rh 3.78
Sn1 0.3613 0.3613 0.0000  4 Rh 2.59
Sn2 0.6387 0.6387 0.0000  4 Rh 2.59
Rh1 0.2500 0.7500 0.5000  4 Sn 2.59
Rh2 0.7500 0.2500 0.5000  4 Sn 2.59

Results
Size of the total moment   0.0 μB/cell
E_tot   -32.366 eV per atom
Fermi-level density of states   1.87 states/eV/f.u.
Symmetry   I4/mmm, No. 139
Energy relative to the elements   -0.34 eV/atom



Entry 7:
The following is a DFT calculation (meta-GGA SCAN) of a PBEsol-optimized structure of RbSr2Rh.

abc: 5.5939 5.5939 5.5939
angles: 60.00 60.00 60.00
With the nearest neighbours (Å) after each atom.
Fractional positions:
Rb1 0.0000 0.0000 0.0000  8 Sr 3.43
Sr1 0.2500 0.2500 0.2500  4 Rh 3.43, 4 Rb 3.43
Sr2 0.7500 0.7500 0.7500  4 Rb 3.43, 4 Rh 3.43
Rh1 0.5000 0.5000 0.5000  8 Sr 3.43

Results
Size of the total moment   0.0 μB/cell
E_tot   -24.500 eV per atom
Fermi-level density of states   1.04 states/eV/f.u.
Symmetry   Fm-3m, No. 225
Energy relative to the elements   0.26 eV/atom



Entry 8:
The following is a DFT calculation (meta-GGA SCAN) of a PBEsol-optimized structure of RbSr3Rh.

abc: 5.9829 5.9829 5.9829
angles: 90.00 90.00 90.00
With the nearest neighbours (Å) after each atom.
Fractional positions:
Rb1 0.0000 0.0000 0.0000  12 Sr 4.23
Sr1 0.0000 0.5000 0.5000  2 Rh 2.99
Sr2 0.5000 0.0000 0.5000  2 Rh 2.99
Sr3 0.5000 0.5000 0.0000  2 Rh 2.99
Rh1 0.5000 0.5000 0.5000  6 Sr 2.99

Results
Offset from the most stable computed form   0.12 eV/f.u.
Size of the total moment   0.2 μB/cell
E_tot   -24.354 eV per atom
Fermi-level density of states   4.09 states/eV/f.u.
Symmetry   Pm-3m, No. 221
Energy relative to the elements   -0.09 eV/atom



- The highest size of the total moment belongs to which entry?
  RbYRe2



Copy entry 3 word for word.
The following is a DFT calculation (meta-GGA SCAN) of a PBEsol-optimized structure of RbSc3Rh.

abc: 4.7711 4.7711 4.7711
angles: 90.00 90.00 90.00
With the nearest neighbours (Å) after each atom.
Fractional positions:
Rb1 0.0000 0.0000 0.0000  6 Sc 2.39
Sc1 0.0000 0.0000 0.5000  2 Rb 2.39
Sc2 0.0000 0.5000 0.0000  2 Rb 2.39
Sc3 0.5000 0.0000 0.0000  2 Rb 2.39
Rh1 0.5000 0.5000 0.5000  12 Sc 3.37

Results
Size of the total moment   0.0 μB/cell
E_tot   -17.835 eV per atom
Fermi-level density of states   2.95 states/eV/f.u.
Symmetry   Pm-3m, No. 221
Energy relative to the elements   1.61 eV/atom